(1)
Entry from Alexandria via LeMat-Bulk: NdHoO after structural relaxation (PBE).

```
3
Lattice="3.571 0.000 0.000 -1.786 3.093 0.000 0.000 0.000 5.992" Properties=species:S:1:pos:R:3 pbc="T T T"
Ho 1.786 1.031 2.690
O 0.000 2.062 3.828
Nd 0.000 0.000 5.467
```

Output
Formation energy without anion corrections (meV per atom): -1747.2
Magnetization (μB per formula unit): 0.03
D(E_F) (states/eV/cell): 1.56
Total energy (eV per atom): -6.52


(2)
Entry from Alexandria via LeMat-Bulk: Li4TbDy3Se8 after structural relaxation (PBE).

```
16
Lattice="-3.592 -7.091 1.800 0.501 -2.208 -7.701 6.654 2.347 4.076" Properties=species:S:1:pos:R:3 pbc="T T T"
Se 2.542 -1.142 0.575
Se -0.513 -3.444 -5.341
Li -1.796 -3.545 0.900
Se -2.303 -6.979 -4.443
Se 4.077 -3.507 3.516
Se 0.740 -4.685 1.472
Li 1.531 -2.372 2.938
Dy 1.782 -3.476 -0.912
Li 0.000 0.000 0.000
Se 1.022 -5.810 -2.400
Se 5.867 0.028 2.619
Se 2.824 -2.267 -3.297
Tb 0.251 -1.104 -3.850
Dy -1.545 -4.650 -2.950
Dy 3.578 0.070 -1.812
Li 3.327 1.174 2.038
```

Output
Formation energy without anion corrections (meV per atom): -1697.6
Magnetization (μB per formula unit): 0.00
D(E_F) (states/eV/cell): 0.00
Total energy (eV per atom): -5.07


(3)
Entry from Alexandria via LeMat-Bulk: DyPuAu2 after structural relaxation (PBE).

```
4
Lattice="-4.073 -0.116 -0.345 -2.291 -1.133 3.192 -2.509 6.627 3.170" Properties=species:S:1:pos:R:3 pbc="T T T"
Au -2.214 1.276 1.483
Au -6.658 4.102 4.535
Dy 0.000 0.000 0.000
Pu -4.436 2.689 3.009
```

Output
Energy of formation from the pure elements (meV/atom): -472.2
Magnetization (μB per formula unit): 5.93
D(E_F) (states/eV/cell): 15.76
Total energy (eV per atom): -6.84
Energy above the most stable polymorph in this dataset (meV per atom): 162